Material: VCd2SbO6
Method: DFT, PBE with a Hubbard U
State: relaxed

abc: 5.339 5.339 4.993
angles: 90.00 90.00 90.00
Positions (direct):
1 V 0.000 0.000 0.000
2 Cd 0.000 0.500 0.427
3 Cd 0.500 0.000 0.427
4 Sb 0.500 0.500 0.003
5 O 0.000 0.000 0.658
6 O 0.247 0.247 0.139
7 O 0.247 0.753 0.139
8 O 0.500 0.500 0.613
9 O 0.753 0.247 0.139
10 O 0.753 0.753 0.139

Calculated values
Total DFT energy (no corrections): -55.7 eV per cell
Mass density: 5.8 g/cm³
DOS(E_F): 1.4 states/eV per cell